1.
## RbCSeN2 (PBE)

Data for a relaxed RbCSeN2 crystal.

Properties
The energy above the most stable polymorph in this dataset comes out at 1154 meV/atom. Its magnetization is 5.0 μB per formula unit. For the mass density, the calculation gives 1697 kg/m³.

Cell lengths 5.462, 5.462, 6.705 Å; angles 90.00, 90.00, 90.00 degrees
Space group P4/mmm (No. 123)
Unique sites:
1 Rb 0.000 0.000 0.000 x1
2 C 0.500 0.500 0.500 x1
3 Se 0.000 0.000 0.500 x1
4 N 0.000 0.500 0.000 x2

2.
## SmGdCo (PBE)

Data for a relaxed SmGdCo crystal.

Properties
The energy above the most stable polymorph in this dataset comes out at 0 meV/atom. The calculation puts the energy of formation at -0.05 eV/atom. Its magnetization is 6.5 μB per formula unit. For the mass density, the calculation gives 8079 kg/m³.

Cell lengths 3.414, 3.414, 12.929 Å; angles 90.00, 90.00, 90.00 degrees
Space group I4mm (No. 107)
Unique sites:
1 Sm 0.000 0.000 0.000 x2
2 Gd 0.000 0.000 0.747 x2
3 Co 0.000 0.000 0.370 x2

Please write out number 2 again, unchanged.
## SmGdCo (PBE)

Data for a relaxed SmGdCo crystal.

Properties
The energy above the most stable polymorph in this dataset comes out at 0 meV/atom. The calculation puts the energy of formation at -0.05 eV/atom. Its magnetization is 6.5 μB per formula unit. For the mass density, the calculation gives 8079 kg/m³.

Cell lengths 3.414, 3.414, 12.929 Å; angles 90.00, 90.00, 90.00 degrees
Space group I4mm (No. 107)
Unique sites:
1 Sm 0.000 0.000 0.000 x2
2 Gd 0.000 0.000 0.747 x2
3 Co 0.000 0.000 0.370 x2